VASP calculation (PBE) on an optimized crystal structure of ZrHg2Au2.

abc: 8.1392 8.1392 3.1489
angles: 90.00 90.00 90.00
Closest atoms and distances in Å follow each position.
Atoms (fractional coordinates):
Zr1 0.0000 0.0000 0.0000  2 Zr 3.15, 4 Hg 3.20, 8 Au 3.40
Zr2 0.5000 0.5000 0.0000  2 Zr 3.15, 4 Hg 3.20, 8 Au 3.40
Hg1 0.1278 0.3722 0.0000  6 Au 2.78-2.94, 1 Hg 2.94
Hg2 0.3722 0.8722 0.0000  6 Au 2.78-2.94, 1 Hg 2.94
Hg3 0.6278 0.1278 0.0000  6 Au 2.78-2.94, 1 Hg 2.94
Hg4 0.8722 0.6278 0.0000  6 Au 2.78-2.94, 1 Hg 2.94
Au1 0.1734 0.6734 0.5000  6 Hg 2.78-2.94
Au2 0.3266 0.1734 0.5000  6 Hg 2.78-2.94
Au3 0.6734 0.8266 0.5000  6 Hg 2.78-2.94
Au4 0.8266 0.3266 0.5000  6 Hg 2.78-2.94

electronic total energy: -30.65 eV for the cell shown
magnetic moment: 0.00 μB/f.u.
energy relative to the elements: 0.076 eV/atom
relative energy among the computed polymorphs: 0.0627 eV per atom
N(E_F): 4.48 states/eV/f.u.

VASP calculation (PBE) on an optimized crystal structure of Pm12Hg6Os.

abc: 8.4290 8.4290 8.4290
angles: 93.97 93.97 93.97
Closest atoms and distances in Å follow each position.
Atoms (fractional coordinates):
Pm1 0.0304 0.9138 0.6834  1 Os 2.75
Pm2 0.0862 0.3166 0.9696  1 Os 2.75
Pm3 0.1998 0.4282 0.5419  4 Hg 3.14-3.34
Pm4 0.3166 0.9696 0.0862  1 Os 2.75
Pm5 0.4282 0.5419 0.1998  4 Hg 3.14-3.34
Pm6 0.4581 0.8002 0.5718  4 Hg 3.14-3.34
Pm7 0.5419 0.1998 0.4282  4 Hg 3.14-3.34
Pm8 0.5718 0.4581 0.8002  4 Hg 3.14-3.34
Pm9 0.6834 0.0304 0.9138  1 Os 2.75
Pm10 0.8002 0.5718 0.4581  4 Hg 3.14-3.34
Pm11 0.9138 0.6834 0.0304  1 Os 2.75
Pm12 0.9696 0.0862 0.3166  1 Os 2.75
Hg1 0.1430 0.7359 0.3474  8 Pm 3.14-3.40
Hg2 0.2641 0.6526 0.8570  8 Pm 3.14-3.40
Hg3 0.3474 0.1430 0.7359  8 Pm 3.14-3.40
Hg4 0.6526 0.8570 0.2641  8 Pm 3.14-3.40
Hg5 0.7359 0.3474 0.1430  8 Pm 3.14-3.40
Hg6 0.8570 0.2641 0.6526  8 Pm 3.14-3.40
Os1 0.0000 0.0000 0.0000  6 Pm 2.75

electronic total energy: -74.16 eV for the cell shown
magnetic moment: 0.00 μB/f.u.
energy relative to the elements: -0.217 eV/atom
N(E_F): 24.02 states/eV/f.u.

VASP calculation (PBE) on an optimized crystal structure of K2HgTeH.

abc: 5.7211 5.7211 4.2611
angles: 90.00 90.00 90.00
Closest atoms and distances in Å follow each position.
Atoms (fractional coordinates):
K1 0.0000 0.5000 0.0000  2 H 2.86
K2 0.5000 0.0000 0.0000  2 H 2.86
Hg1 0.0000 0.0000 0.5000  2 H 2.13
Te1 0.5000 0.5000 0.5000  8 K 3.57
H1 0.0000 0.0000 0.0000  2 Hg 2.13

electronic total energy: -11.21 eV for the cell shown
magnetic moment: 0.00 μB/f.u.
N(E_F): 0.85 states/eV/f.u.

VASP calculation (PBE) on an optimized crystal structure of ErFeAgCl6.

abc: 6.3456 6.3456 12.2030
angles: 90.00 90.00 120.00
Closest atoms and distances in Å follow each position.
Atoms (fractional coordinates):
Er1 0.3333 0.6667 0.2500  6 Cl 2.62
Er2 0.6667 0.3333 0.7500  6 Cl 2.62
Fe1 0.3333 0.6667 0.7500  6 Cl 2.35
Fe2 0.6667 0.3333 0.2500  6 Cl 2.35
Ag1 0.0000 0.0000 0.0000  6 Cl 2.80
Ag2 0.0000 0.0000 0.5000  6 Cl 2.80
Cl1 0.0334 0.3722 0.6350  1 Fe 2.35, 1 Er 2.62
Cl2 0.0334 0.6612 0.8650  1 Fe 2.35, 1 Er 2.62
Cl3 0.3388 0.3722 0.8650  1 Fe 2.35, 1 Er 2.62
Cl4 0.3388 0.9666 0.6350  1 Fe 2.35, 1 Er 2.62
Cl5 0.3722 0.0334 0.1350  1 Fe 2.35, 1 Er 2.62
Cl6 0.3722 0.3388 0.3650  1 Fe 2.35, 1 Er 2.62
Cl7 0.6278 0.6612 0.6350  1 Fe 2.35, 1 Er 2.62
Cl8 0.6278 0.9666 0.8650  1 Fe 2.35, 1 Er 2.62
Cl9 0.6612 0.0334 0.3650  1 Fe 2.35, 1 Er 2.62
Cl10 0.6612 0.6278 0.1350  1 Fe 2.35, 1 Er 2.62
Cl11 0.9666 0.3388 0.1350  1 Fe 2.35, 1 Er 2.62
Cl12 0.9666 0.6278 0.3650  1 Fe 2.35, 1 Er 2.62

electronic total energy: -75.45 eV for the cell shown
magnetic moment: 0.13 μB/f.u.

VASP calculation (PBE) on an optimized crystal structure of Hg4Br3F4.

abc: 8.5361 8.5361 8.5361
angles: 154.90 124.45 61.88
Closest atoms and distances in Å follow each position.
Atoms (fractional coordinates):
Hg1 0.2210 0.2210 0.0000  4 F 2.40
Hg2 0.2744 0.5000 0.7744  2 F 2.71, 2 Br 2.86
Hg3 0.7256 0.5000 0.2256  2 F 2.71, 2 Br 2.86
Hg4 0.7790 0.7790 0.0000  4 F 2.40
Br1 0.0000 0.0000 0.0000  4 Hg 2.86
Br2 0.3822 0.8822 0.5000  6 Hg 3.00-3.10, 6 F 3.31
Br3 0.6178 0.1178 0.5000  6 Hg 3.00-3.10, 6 F 3.31
F1 0.0044 0.6761 0.3283  2 Hg 2.40
F2 0.3478 0.6761 0.6717  2 Hg 2.40
F3 0.6522 0.3239 0.3283  2 Hg 2.40
F4 0.9956 0.3239 0.6717  2 Hg 2.40

electronic total energy: -22.51 eV for the cell shown
magnetic moment: 0.00 μB/f.u.
N(E_F): 0.92 states/eV/f.u.

VASP calculation (PBE) on an optimized crystal structure of CsSi3Rh.

abc: 5.2934 5.2934 5.2934
angles: 90.00 90.00 90.00
Closest atoms and distances in Å follow each position.
Atoms (fractional coordinates):
Cs1 0.0000 0.0000 0.0000  6 Si 2.65
Si1 0.0000 0.0000 0.5000  2 Cs 2.65
Si2 0.0000 0.5000 0.0000  2 Cs 2.65
Si3 0.5000 0.0000 0.0000  2 Cs 2.65
Rh1 0.5000 0.5000 0.5000  12 Si 3.74

electronic total energy: -10.79 eV for the cell shown
magnetic moment: 0.64 μB/f.u.
relative energy among the computed polymorphs: 2.2619 eV per atom
N(E_F): 7.38 states/eV/f.u.

VASP calculation (PBE) on an optimized crystal structure of Ba2Hg2Pt.

abc: 7.9420 7.9420 5.0333
angles: 90.00 90.00 90.00
Closest atoms and distances in Å follow each position.
Atoms (fractional coordinates):
Ba1 0.1795 0.3205 0.0000  6 Hg 3.28-3.56
Ba2 0.3205 0.8205 0.0000  6 Hg 3.28-3.56
Ba3 0.6795 0.1795 0.0000  6 Hg 3.28-3.56
Ba4 0.8205 0.6795 0.0000  6 Hg 3.28-3.56
Hg1 0.1333 0.6333 0.5000  1 Hg 2.99, 2 Pt 3.10, 2 Ba 3.28
Hg2 0.3667 0.1333 0.5000  1 Hg 2.99, 2 Pt 3.10, 2 Ba 3.28
Hg3 0.6333 0.8667 0.5000  1 Hg 2.99, 2 Pt 3.10, 2 Ba 3.28
Hg4 0.8667 0.3667 0.5000  1 Hg 2.99, 2 Pt 3.10, 2 Ba 3.28
Pt1 0.0000 0.0000 0.5000  4 Hg 3.10
Pt2 0.5000 0.5000 0.5000  4 Hg 3.10

electronic total energy: -24.49 eV for the cell shown
magnetic moment: 0.00 μB/f.u.
energy relative to the elements: -0.351 eV/atom
relative energy among the computed polymorphs: 0.2449 eV per atom
N(E_F): 4.00 states/eV/f.u.

VASP calculation (PBE) on an optimized crystal structure of La2TiCu.

abc: 7.4254 7.4254 7.4254
angles: 90.00 90.00 90.00
Closest atoms and distances in Å follow each position.
Atoms (fractional coordinates):
La1 0.2500 0.2500 0.2500  4 Cu 3.22, 4 Ti 3.22
La2 0.2500 0.2500 0.7500  4 Cu 3.22, 4 Ti 3.22
La3 0.2500 0.7500 0.2500  4 Cu 3.22, 4 Ti 3.22
La4 0.2500 0.7500 0.7500  4 Cu 3.22, 4 Ti 3.22
La5 0.7500 0.2500 0.2500  4 Cu 3.22, 4 Ti 3.22
La6 0.7500 0.2500 0.7500  4 Cu 3.22, 4 Ti 3.22
La7 0.7500 0.7500 0.2500  4 Cu 3.22, 4 Ti 3.22
La8 0.7500 0.7500 0.7500  4 Cu 3.22, 4 Ti 3.22
Ti1 0.0000 0.0000 0.0000  8 La 3.22
Ti2 0.0000 0.5000 0.5000  8 La 3.22
Ti3 0.5000 0.0000 0.5000  8 La 3.22
Ti4 0.5000 0.5000 0.0000  8 La 3.22
Cu1 0.0000 0.0000 0.5000  8 La 3.22
Cu2 0.0000 0.5000 0.0000  8 La 3.22
Cu3 0.5000 0.0000 0.0000  8 La 3.22
Cu4 0.5000 0.5000 0.5000  8 La 3.22

electronic total energy: -83.74 eV for the cell shown
magnetic moment: 2.07 μB/f.u.
energy relative to the elements: 0.228 eV/atom
relative energy among the computed polymorphs: 0.0000 eV per atom
N(E_F): 8.50 states/eV/f.u.

VASP calculation (PBE) on an optimized crystal structure of Ru5Cl3.

abc: 6.4705 7.4690 7.6713
angles: 83.87 85.84 66.03
Closest atoms and distances in Å follow each position.
Atoms (fractional coordinates):
Ru1 0.0009 0.1040 0.2663  3 Cl 2.42-2.45, 3 Ru 2.55-2.63
Ru2 0.1860 0.0112 0.9541  9 Ru 2.52-2.73
Ru3 0.1991 0.7241 0.1849  3 Cl 2.42-2.44, 3 Ru 2.50-2.68
Ru4 0.3797 0.1231 0.1784  4 Ru 2.31-2.59, 1 Cl 2.44
Ru5 0.4485 0.2210 0.8918  4 Ru 2.31-2.58, 1 Cl 2.58
Ru6 0.5515 0.7790 0.1082  4 Ru 2.31-2.58, 1 Cl 2.58
Ru7 0.6203 0.8769 0.8216  4 Ru 2.31-2.59, 1 Cl 2.44
Ru8 0.8009 0.2759 0.8151  3 Cl 2.42-2.44, 3 Ru 2.50-2.68
Ru9 0.8140 0.9888 0.0459  9 Ru 2.52-2.73
Ru10 0.9991 0.8960 0.7337  3 Cl 2.42-2.45, 3 Ru 2.55-2.63
Cl1 0.2035 0.5919 0.9066  3 Ru 2.42-2.58
Cl2 0.2374 0.8316 0.4645  3 Ru 2.43-2.45
Cl3 0.2530 0.4123 0.3444  2 Ru 2.42-2.44
Cl4 0.7470 0.5877 0.6556  2 Ru 2.42-2.44
Cl5 0.7626 0.1684 0.5355  3 Ru 2.43-2.45
Cl6 0.7965 0.4081 0.0934  3 Ru 2.42-2.58

electronic total energy: -97.19 eV for the cell shown
magnetic moment: 0.20 μB/f.u.
relative energy among the computed polymorphs: 0.0000 eV per atom
N(E_F): 7.90 states/eV/f.u.

VASP calculation (PBE) on an optimized crystal structure of SrCd2Pb2.

abc: 7.1459 7.1459 7.9689
angles: 100.27 100.27 122.99
Closest atoms and distances in Å follow each position.
Atoms (fractional coordinates):
Sr1 0.1526 0.8474 0.7500  2 Pb 3.37-3.67, 4 Cd 3.46-3.60
Sr2 0.8474 0.1526 0.2500  2 Pb 3.37-3.67, 4 Cd 3.46-3.60
Cd1 0.2641 0.6006 0.0547  2 Cd 2.90-3.09, 4 Pb 2.99-3.16
Cd2 0.3994 0.7359 0.4453  2 Cd 2.90-3.09, 4 Pb 2.99-3.16
Cd3 0.6006 0.2641 0.5547  2 Cd 2.90-3.09, 4 Pb 2.99-3.16
Cd4 0.7359 0.3994 0.9453  2 Cd 2.90-3.09, 4 Pb 2.99-3.16
Pb1 0.1160 0.8840 0.2500  4 Cd 3.07-3.11, 1 Sr 3.37
Pb2 0.4445 0.5555 0.7500  4 Cd 2.99-3.16
Pb3 0.5555 0.4445 0.2500  4 Cd 2.99-3.16
Pb4 0.8840 0.1160 0.7500  4 Cd 3.07-3.11, 1 Sr 3.37

electronic total energy: -23.71 eV for the cell shown
magnetic moment: 0.00 μB/f.u.
energy relative to the elements: -0.185 eV/atom
N(E_F): 1.26 states/eV/f.u.